1.
# Tb8AlZn2 (PBE, optimized geometry)
# ΔE_f (eV per formula unit): -1.14
# Total magnetic moment (μB per atom): 0.00
data_Tb8AlZn2
_symmetry_space_group_name_H-M 'I m m m'
_symmetry_Int_Tables_number 71
_symmetry_space_group_name_Hall '-I 2 2'
_cell_length_a 4.957
_cell_length_b 8.291
_cell_length_c 14.570
_cell_angle_alpha 90.00
_cell_angle_beta 90.00
_cell_angle_gamma 90.00
loop_
_atom_site_label
_atom_site_type_symbol
_atom_site_fract_x
_atom_site_fract_y
_atom_site_fract_z
Tb1 Tb 0.000 0.000 0.136
Tb2 Tb 0.000 0.222 0.338
Tb3 Tb 0.000 0.314 0.000
Al1 Al 0.000 0.500 0.500
Zn1 Zn 0.000 0.500 0.195

***

2.
# AlTl8 (PBE, optimized geometry)
# ΔE_f (eV per formula unit): 0.81
# Total magnetic moment (μB per atom): 0.00
data_AlTl8
_symmetry_space_group_name_H-M 'I 4/m m m'
_symmetry_Int_Tables_number 139
_symmetry_space_group_name_Hall '-I 4 2'
_cell_length_a 11.642
_cell_length_b 11.642
_cell_length_c 3.928
_cell_angle_alpha 90.00
_cell_angle_beta 90.00
_cell_angle_gamma 90.00
loop_
_atom_site_label
_atom_site_type_symbol
_atom_site_fract_x
_atom_site_fract_y
_atom_site_fract_z
Al1 Al 0.000 0.000 0.000
Tl1 Tl 0.000 0.333 0.000
Tl2 Tl 0.157 0.157 0.500